DFT (PBE+U) results for an optimized crystal structure of FeO. Values from VASP.

Volume (Å³/cell): 101.8
SG: P6_3mc, No. 186
ρ (g cm⁻³): 4.688
D(E_F) (states/eV/cell): 5.26
DFT total energy (eV per atom): -6.263

Geometry as Quantum ESPRESSO input:
```
&SYSTEM
  ibrav = 0, nat = 8, ntyp = 2
/
ATOMIC_SPECIES
O 16.00 O.upf
Fe 55.84 Fe.upf
CELL_PARAMETERS angstrom
1.628 -2.820 0.000
1.628 2.820 0.000
0.000 0.000 11.084
ATOMIC_POSITIONS angstrom
O 1.628 -0.940 3.153
O 0.000 0.000 0.338
O 1.628 0.940 8.695
O 0.000 0.000 5.880
Fe 0.000 0.000 7.936
Fe 0.000 0.000 2.394
Fe 1.628 0.940 10.741
Fe 1.628 -0.940 5.199
```